# AcCoBi2O6 | Alexandria via LeMat-Bulk | GGA+U | optimized geometry
# VASP energy, eV per atom: -6.26
data_AcCoBi2O6
_symmetry_space_group_name_H-M 'P 1'
_symmetry_Int_Tables_number 1
_cell_length_a 5.572
_cell_length_b 6.153
_cell_length_c 6.585
_cell_angle_alpha 117.44
_cell_angle_beta 112.35
_cell_angle_gamma 92.68
loop_
_symmetry_equiv_pos_as_xyz
'x,y,z'
loop_
_atom_site_label
_atom_site_type_symbol
_atom_site_fract_x
_atom_site_fract_y
_atom_site_fract_z
Ac1 Ac 0.000 0.000 0.000
Co1 Co 0.574 0.551 0.162
Bi1 Bi 0.199 0.791 0.431
Bi2 Bi 0.735 0.263 0.457
O1 O 0.104 0.164 0.477
O2 O 0.273 0.420 0.176
O3 O 0.410 0.876 0.227
O4 O 0.650 0.197 0.083
O5 O 0.821 0.655 0.077
O6 O 0.841 0.691 0.531